# 1
Crystalline SbAs4Os at its relaxed geometry. Source: Alexandria via LeMat-Bulk, functional PBE.

Lattice parameters (Å, degrees): 7.780 7.780 7.780 90.00 90.00 90.00
Space group F-43m (No. 216)
Symmetry-distinct sites (fractional):
Sb 0.000 0.000 0.000 x4
As 0.125 0.125 0.625 x16
Os 0.250 0.250 0.250 x4

Output
ΔE_f (raw)   1.0361 eV per atom

=====

# 2
Crystalline AcYGa2 at its relaxed geometry. Source: Alexandria via LeMat-Bulk, functional PBE.

Lattice parameters (Å, degrees): 3.8749 3.8749 27.0148 90.00 90.00 120.00
Space group R-3m (No. 166, hexagonal axes)
Symmetry-distinct sites (fractional):
Ac 0.0000 0.0000 0.0000 x3
Y 0.0000 0.0000 0.5000 x3
Ga 0.0000 0.0000 0.2434 x6

Output
Energy of formation   -0.32 eV per atom

=====

# 3
Crystalline K2HPb at its relaxed geometry. Source: Alexandria via LeMat-Bulk, functional PBE.

Lattice parameters (Å, degrees): 3.7627 3.7627 30.8493 90.00 90.00 120.00
Space group R-3m (No. 166, hexagonal axes)
Symmetry-distinct sites (fractional):
K 0.0000 0.0000 0.1122 x6
H 0.0000 0.0000 0.5000 x3
Pb 0.0000 0.0000 0.0000 x3

Output
Offset from the most stable computed form   121.7 meV/atom

=====

# 4
Crystalline Pr2TeRu at its relaxed geometry. Source: Alexandria via LeMat-Bulk, functional PBE.

Lattice parameters (Å, degrees): 3.690 3.690 7.758 90.00 90.00 90.00
Space group P4/mmm (No. 123)
Symmetry-distinct sites (fractional):
Pr 0.000 0.000 0.223 x2
Te 0.500 0.500 0.500 x1
Ru 0.500 0.500 0.000 x1

Output
Offset from the most stable computed form   0.0 meV/atom
ΔE_f (raw)   -0.6244 eV per atom

=====

# 5
Crystalline Te3Pt at its relaxed geometry. Source: Alexandria via LeMat-Bulk, functional PBE.

Lattice parameters (Å, degrees): 8.5638 8.5638 3.7724 90.00 90.00 120.00
Space group P6_3/mmc (No. 194)
Symmetry-distinct sites (fractional):
Te 0.2010 0.4020 0.2500 x6
Pt 0.3333 0.6667 0.7500 x2

Output
ΔE_f (raw)   -0.0132 eV per atom

=====

# 6
Crystalline ScIrOs2 at its relaxed geometry. Source: Alexandria via LeMat-Bulk, functional PBE.

Lattice parameters (Å, degrees): 3.237 3.237 6.062 90.00 90.00 90.00
Space group P4/mmm (No. 123)
Symmetry-distinct sites (fractional):
Sc 0.000 0.000 0.000 x1
Ir 0.000 0.000 0.500 x1
Os 0.500 0.500 0.270 x2

Output
Offset from the most stable computed form   383.9 meV/atom
Energy of formation   0.21 eV per atom

=====

# 7
Crystalline SmTm3 at its relaxed geometry. Source: Alexandria via LeMat-Bulk, functional PBE.

Lattice parameters (Å, degrees): 3.599 5.589 6.230 90.00 90.00 90.00
Space group Pmm2 (No. 25)
Symmetry-distinct sites (fractional):
Sm 0.000 0.000 0.000 x1
Tm 0.000 0.500 0.664 x1
Tm 0.500 0.000 0.498 x1
Tm 0.500 0.500 0.166 x1

Output
Offset from the most stable computed form   4.0 meV/atom
Energy of formation   0.01 eV per atom

=====

# 8
Crystalline Ho8ZnCo2 at its relaxed geometry. Source: Alexandria via LeMat-Bulk, functional PBE.

Lattice parameters (Å, degrees): 8.451 12.868 5.346 90.00 103.92 90.00
Space group C2/m (No. 12)
Symmetry-distinct sites (fractional):
Ho 0.000 0.244 0.000 x4
Ho 0.120 0.500 0.806 x4
Ho 0.200 0.131 0.579 x8
Zn 0.000 0.000 0.000 x2
Co 0.000 0.307 0.500 x4

Output
Offset from the most stable computed form   69.2 meV/atom
Energy of formation   -0.07 eV per atom

=====

# 9
Crystalline MgCo2Mo at its relaxed geometry. Source: Alexandria via LeMat-Bulk, functional PBE.

Lattice parameters (Å, degrees): 2.694 2.694 7.636 90.00 90.00 90.00
Space group P4mm (No. 99)
Symmetry-distinct sites (fractional):
Mg 0.000 0.000 0.000 x1
Co 0.000 0.000 0.552 x1
Co 0.500 0.500 0.744 x1
Mo 0.500 0.500 0.305 x1

Output
Energy of formation   0.18 eV per atom

=====

# 10
Crystalline Eu2NiIr at its relaxed geometry. Source: Alexandria via LeMat-Bulk, functional PBE.

Lattice parameters (Å, degrees): 5.023 5.023 3.407 90.00 90.00 90.00
Space group P4/mmm (No. 123)
Symmetry-distinct sites (fractional):
Eu 0.000 0.500 0.000 x2
Ni 0.000 0.000 0.500 x1
Ir 0.500 0.500 0.500 x1

Output
Energy of formation   -0.12 eV per atom

=====

# 11
Crystalline Ag4Bi at its relaxed geometry. Source: Alexandria via LeMat-Bulk, functional PBE.

Lattice parameters (Å, degrees): 9.598 9.598 9.598 90.00 90.00 90.00
Space group I-43m (No. 217)
Symmetry-distinct sites (fractional):
Ag 0.000 0.000 0.351 x12
Ag 0.000 0.250 0.500 x12
Ag 0.109 0.109 0.109 x8
Bi 0.205 0.205 0.795 x8

Output
Offset from the most stable computed form   0.0 meV/atom
Energy of formation   0.16 eV per atom

=====

# 12
Crystalline La4Dy3In at its relaxed geometry. Source: Alexandria via LeMat-Bulk, functional PBE.

Lattice parameters (Å, degrees): 27.917 5.230 3.771 90.00 97.68 90.00
Space group C2/m (No. 12)
Symmetry-distinct sites (fractional):
La 0.096 0.000 0.094 x4
La 0.215 0.000 0.214 x4
Dy 0.000 0.500 0.000 x2
Dy 0.146 0.500 0.645 x4
In 0.000 0.000 0.500 x2

Output
Energy of formation   0.00 eV per atom